[1]
LiLa2As after structural relaxation. Source: the Alexandria database, functional PBE.

For the total DFT energy (no corrections), the calculation gives -4.76 eV/atom. As for the spin magnetization: 1.42 μB/f.u. The formation energy is -653 meV per atom.

The space group is R3m (No. 160, hexagonal axes) and the conventional cell measures 4.1887, 4.1887 and 22.2865 Å, with angles of 90.00, 90.00 and 120.00 degrees. The asymmetric unit holds Li at (0.0000, 0.0000, 0.0000), La at (0.0000, 0.0000, 0.5707), La at (0.0000, 0.0000, 0.7638) and As at (0.0000, 0.0000, 0.3325).

***

[2]
La4OsPd after structural relaxation. Source: the Alexandria database, functional PBE.

For the total DFT energy (no corrections), the calculation gives -6.35 eV/atom. As for the spin magnetization: 0.00 μB/f.u. The formation energy is -323 meV per atom.

The space group is C2/c (No. 15) and the conventional cell measures 8.826, 15.464 and 7.150 Å, with angles of 90.00, 127.11 and 90.00 degrees. The asymmetric unit holds La at (0.205, 0.202, 0.206), La at (0.246, 0.048, 0.740), Os at (0.000, 0.085, 0.250) and Pd at (0.000, 0.403, 0.750).